Here is Sr2HoS3 after structural relaxation from Alexandria. Energies are from GGA-PBE.

* uncorrected formation energy: -2.055 eV per atom
* total magnetic moment: 0.00 μB per cell
* density: 4.86 g/cm3

a b c (Å): 8.2793 11.6778 24.6773
angles (deg): 90.00 90.00 90.00
Space group Fddd (No. 70, origin choice 2)
One atom of each set of equivalent atoms:
Sr (0.1250, 0.1250, 0.0432) (multiplicity 16)
Sr (0.1250, 0.1250, 0.3732) (multiplicity 16)
Ho (0.1250, 0.1250, 0.5416) (multiplicity 16)
S (0.1048, 0.3750, 0.8750) (multiplicity 16)
S (0.1152, 0.3654, 0.7118) (multiplicity 32)